The following is a DFT calculation (PBE-GGA) of Dy3PuTe4 after structural relaxation.

Properties
final energy: -6.34 eV/atom

a = 8.7925 Å, b = 12.3547 Å, c = 4.3470 Å
α = 90.00°, β = 90.00°, γ = 90.00°
Space group Cmmm (No. 65)
Unique sites:
1 Dy 0.0000 0.0000 0.0000
2 Dy 0.2500 0.2500 0.5000
3 Pu 0.0000 0.5000 0.0000
4 Te 0.0000 0.2483 0.0000
5 Te 0.2467 0.0000 0.5000

The following is a DFT calculation (PBE-GGA) of DyPu3Te4 after structural relaxation.

Properties
final energy: -8.67 eV/atom

a = 8.8307 Å, b = 12.4801 Å, c = 4.4131 Å
α = 90.00°, β = 90.00°, γ = 90.00°
Space group Cmmm (No. 65)
Unique sites:
1 Dy 0.0000 0.0000 0.0000
2 Pu 0.0000 0.5000 0.0000
3 Pu 0.2500 0.2500 0.5000
4 Te 0.0000 0.2484 0.0000
5 Te 0.2466 0.0000 0.5000

The following is a DFT calculation (PBE-GGA) of Dy3PuTl4Te8 after structural relaxation.

Properties
final energy: -4.90 eV/atom

a = 8.9311 Å, b = 8.9311 Å, c = 24.4900 Å
α = 90.00°, β = 90.00°, γ = 120.00°
Space group R-3m (No. 166, hexagonal axes)
Unique sites:
1 Dy 0.0000 0.5000 0.0000
2 Pu 0.0000 0.0000 0.0000
3 Tl 0.0000 0.0000 0.5000
4 Tl 0.0000 0.5000 0.5000
5 Te 0.0000 0.0000 0.2622
6 Te 0.0039 0.5020 0.2620

The following is a DFT calculation (PBE-GGA) of Dy2PuTl3Te6 after structural relaxation.

Properties
final energy: -5.08 eV/atom

a = 7.7540 Å, b = 13.4304 Å, c = 8.5448 Å
α = 90.00°, β = 107.60°, γ = 90.00°
Space group C2/m (No. 12)
Unique sites:
1 Dy 0.0000 0.1669 0.0000
2 Pu 0.0000 0.5000 0.0000
3 Tl 0.0000 0.0000 0.5000
4 Tl 0.0000 0.3345 0.5000
5 Te 0.2337 0.0000 0.2135
6 Te 0.2402 0.3313 0.2143

The following is a DFT calculation (PBE-GGA) of DyTm2Pu3Te6 after structural relaxation.

Properties
final energy: -7.46 eV/atom

a = 19.1593 Å, b = 4.3471 Å, c = 8.8019 Å
α = 90.00°, β = 104.37°, γ = 90.00°
Space group C2/m (No. 12)
Unique sites:
1 Dy 0.0000 0.0000 0.0000
2 Tm 0.1663 0.5000 0.3320
3 Pu 0.0000 0.0000 0.5000
4 Pu 0.1656 0.5000 0.8328
5 Te 0.0025 0.5000 0.2480
6 Te 0.1660 0.0000 0.0891
7 Te 0.1690 0.0000 0.5774

The following is a DFT calculation (PBE-GGA) of Dy2TmPu3Te6 after structural relaxation.

Properties
final energy: -7.49 eV/atom

a = 19.1932 Å, b = 4.3568 Å, c = 8.8163 Å
α = 90.00°, β = 104.32°, γ = 90.00°
Space group C2/m (No. 12)
Unique sites:
1 Dy 0.1671 0.0000 0.3343
2 Tm 0.0000 0.5000 0.0000
3 Pu 0.0000 0.5000 0.5000
4 Pu 0.1677 0.0000 0.8336
5 Te 0.0009 0.0000 0.2436
6 Te 0.1639 0.5000 0.0855
7 Te 0.1676 0.5000 0.5806

The following is a DFT calculation (PBE-GGA) of Dy3Tm2PuTe6 after structural relaxation.

Properties
final energy: -5.89 eV/atom

a = 18.9876 Å, b = 4.3244 Å, c = 8.7308 Å
α = 90.00°, β = 103.48°, γ = 90.00°
Space group C2/m (No. 12)
Unique sites:
1 Dy 0.0000 0.0000 0.0000
2 Dy 0.1635 0.5000 0.3341
3 Tm 0.1625 0.5000 0.8267
4 Pu 0.0000 0.0000 0.5000
5 Te 0.0008 0.5000 0.7540
6 Te 0.1698 0.0000 0.0803
7 Te 0.1695 0.0000 0.5874

The following is a DFT calculation (PBE-GGA) of DyY2Pu3Te6 after structural relaxation.

Properties
final energy: -7.84 eV/atom

a = 19.2293 Å, b = 4.3751 Å, c = 8.8294 Å
α = 90.00°, β = 104.13°, γ = 90.00°
Space group C2/m (No. 12)
Unique sites:
1 Dy 0.0000 0.0000 0.0000
2 Y 0.1666 0.5000 0.3332
3 Pu 0.0000 0.0000 0.5000
4 Pu 0.1668 0.5000 0.8333
5 Te 0.0009 0.5000 0.2469
6 Te 0.1654 0.0000 0.0855
7 Te 0.1677 0.0000 0.5808

The following is a DFT calculation (PBE-GGA) of Dy2Y3PuTe6 after structural relaxation.

Properties
final energy: -6.43 eV/atom

a = 19.0704 Å, b = 4.3527 Å, c = 8.7722 Å
α = 90.00°, β = 103.37°, γ = 90.00°
Space group C2/m (No. 12)
Unique sites:
1 Dy 0.1634 0.0000 0.3283
2 Y 0.0000 0.5000 0.5000
3 Y 0.1650 0.0000 0.8346
4 Pu 0.0000 0.5000 0.0000
5 Te 0.9996 0.0000 0.2529
6 Te 0.1685 0.5000 0.5826
7 Te 0.1685 0.5000 0.0846

The following is a DFT calculation (PBE-GGA) of DyYPu2Te5 after structural relaxation.

Properties
final energy: -6.85 eV/atom

a = 5.5358 Å, b = 5.5358 Å, c = 11.5415 Å
α = 90.00°, β = 90.00°, γ = 90.00°
Space group P4/mmm (No. 123)
Unique sites:
1 Dy 0.0000 0.0000 0.0000
2 Y 0.0000 0.0000 0.5000
3 Pu 0.5000 0.5000 0.1813
4 Te 0.0000 0.0000 0.2560
5 Te 0.0000 0.5000 0.0000
6 Te 0.5000 0.5000 0.5000

The following is a DFT calculation (PBE-GGA) of Dy2PuTh after structural relaxation.

Properties
ΔH_f (0 K): 122 meV per atom
energy above the most stable polymorph in this dataset: 0.000 eV/atom

a = 6.0894 Å, b = 3.5123 Å, c = 11.6995 Å
α = 90.00°, β = 100.01°, γ = 90.00°
Space group Cm (No. 8)
Unique sites:
1 Dy 0.0000 0.0000 0.0000
2 Dy 0.1695 0.0000 0.5098
3 Pu 0.0839 0.5000 0.7545
4 Th 0.4173 0.0000 0.2559

The following is a DFT calculation (PBE-GGA) of DyPuTh after structural relaxation.

Properties
ΔH_f (0 K): 135 meV per atom
energy above the most stable polymorph in this dataset: 0.023 eV/atom

a = 3.4521 Å, b = 5.5684 Å, c = 9.4048 Å
α = 90.00°, β = 90.00°, γ = 90.00°
Space group Pmmn (No. 59, origin choice 2)
Unique sites:
1 Dy 0.2500 0.2500 0.0918
2 Pu 0.2500 0.2500 0.7368
3 Th 0.2500 0.7500 0.5730

The following is a DFT calculation (PBE-GGA) of Dy2PuTh after structural relaxation.

Properties
ΔH_f (0 K): 246 meV per atom
energy above the most stable polymorph in this dataset: 0.124 eV/atom

a = 3.4727 Å, b = 3.4727 Å, c = 36.4398 Å
α = 90.00°, β = 90.00°, γ = 120.00°
Space group R-3m (No. 166, hexagonal axes)
Unique sites:
1 Dy 0.0000 0.0000 0.0899
2 Pu 0.0000 0.0000 0.0000
3 Th 0.0000 0.0000 0.5000

The following is a DFT calculation (PBE-GGA) of DyPuTh after structural relaxation.

Properties
ΔH_f (0 K): 112 meV per atom
energy above the most stable polymorph in this dataset: 0.000 eV/atom

a = 3.5310 Å, b = 3.5310 Å, c = 14.4291 Å
α = 90.00°, β = 90.00°, γ = 90.00°
Space group I4mm (No. 107)
Unique sites:
1 Dy 0.0000 0.0000 0.0000
2 Pu 0.0000 0.0000 0.3273
3 Th 0.0000 0.0000 0.6721

The following is a DFT calculation (PBE-GGA) of DyPuTh after structural relaxation.

Properties
ΔH_f (0 K): 264 meV per atom
energy above the most stable polymorph in this dataset: 0.152 eV/atom

a = 5.6599 Å, b = 5.6599 Å, c = 3.2651 Å
α = 90.00°, β = 90.00°, γ = 120.00°
Space group P3m1 (No. 156)
Unique sites:
1 Dy 0.0000 0.0000 0.0000
2 Pu 0.3333 0.6667 0.5010
3 Th 0.6667 0.3333 0.0017

The following is a DFT calculation (PBE-GGA) of Dy6PuTh2 after structural relaxation.

Properties
ΔH_f (0 K): 161 meV per atom

a = 5.3933 Å, b = 21.3313 Å, c = 9.9011 Å
α = 90.00°, β = 90.00°, γ = 90.00°
Space group Imma (No. 74)
Unique sites:
1 Dy 0.0000 0.0463 0.1330
2 Dy 0.0000 0.1691 0.3534
3 Dy 0.0000 0.1701 0.9329
4 Pu 0.0000 0.2500 0.6543
5 Th 0.0000 0.0649 0.6195

The following is a DFT calculation (PBE-GGA) of DyPuTh14 after structural relaxation.

Properties
ΔH_f (0 K): 42 meV per atom

a = 11.5402 Å, b = 7.1652 Å, c = 12.3451 Å
α = 90.00°, β = 90.00°, γ = 90.00°
Space group Amm2 (No. 38)
Unique sites:
1 Dy 0.0000 0.0000 0.0000
2 Pu 0.0000 0.0000 0.5001
3 Th 0.0000 0.2499 0.2530
4 Th 0.2477 0.2493 0.5826
5 Th 0.2486 0.0000 0.3336
6 Th 0.2507 0.0000 0.8334
7 Th 0.5000 0.0000 0.1659
8 Th 0.5000 0.0000 0.6659
9 Th 0.5000 0.2495 0.4160

The following is a DFT calculation (PBE-GGA) of Dy2PuTh after structural relaxation.

Properties
ΔH_f (0 K): 200 meV per atom
energy above the most stable polymorph in this dataset: 0.078 eV/atom

a = 4.0481 Å, b = 4.0481 Å, c = 7.4905 Å
α = 90.00°, β = 90.00°, γ = 90.00°
Space group P4/mmm (No. 123)
Unique sites:
1 Dy 0.0000 0.0000 0.2365
2 Pu 0.5000 0.5000 0.0000
3 Th 0.5000 0.5000 0.5000

The following is a DFT calculation (PBE-GGA) of Dy2PuTh after structural relaxation.

Properties
ΔH_f (0 K): 211 meV per atom
energy above the most stable polymorph in this dataset: 0.089 eV/atom

a = 5.8101 Å, b = 5.8101 Å, c = 3.6561 Å
α = 90.00°, β = 90.00°, γ = 90.00°
Space group P4/mmm (No. 123)
Unique sites:
1 Dy 0.0000 0.5000 0.0000
2 Pu 0.0000 0.0000 0.5000
3 Th 0.5000 0.5000 0.5000

The following is a DFT calculation (PBE-GGA) of DyTmPuTh after structural relaxation.

Properties
ΔH_f (0 K): 198 meV per atom

a = 7.8447 Å, b = 7.8447 Å, c = 7.8447 Å
α = 90.00°, β = 90.00°, γ = 90.00°
Space group F-43m (No. 216)
Unique sites:
1 Dy 0.0000 0.0000 0.0000
2 Tm 0.2500 0.2500 0.7500
3 Pu 0.2500 0.2500 0.2500
4 Th 0.0000 0.0000 0.5000

The following is a DFT calculation (PBE-GGA) of Dy3Tm6PuTh2 after structural relaxation.

Properties
ΔH_f (0 K): 31 meV per atom

a = 6.0702 Å, b = 10.5132 Å, c = 11.5858 Å
α = 90.00°, β = 100.06°, γ = 90.00°
Space group C2/m (No. 12)
Unique sites:
1 Dy 0.0000 0.0000 0.0000
2 Dy 0.0000 0.3332 0.0000
3 Tm 0.2481 0.3341 0.7465
4 Tm 0.2504 0.0000 0.7465
5 Pu 0.0000 0.5000 0.5000
6 Th 0.0000 0.1667 0.5000

The following is a DFT calculation (PBE-GGA) of DyPuThZn after structural relaxation.

Properties
ΔH_f (0 K): 115 meV per atom

a = 7.4504 Å, b = 7.4504 Å, c = 7.4504 Å
α = 90.00°, β = 90.00°, γ = 90.00°
Space group F-43m (No. 216)
Unique sites:
1 Dy 0.0000 0.0000 0.0000
2 Pu 0.2500 0.2500 0.7500
3 Th 0.0000 0.0000 0.5000
4 Zn 0.2500 0.2500 0.2500

The following is a DFT calculation (PBE-GGA) of DyPu2Ti after structural relaxation.

Properties
ΔH_f (0 K): 204 meV per atom

a = 3.2266 Å, b = 3.2266 Å, c = 9.3735 Å
α = 90.00°, β = 90.00°, γ = 90.00°
Space group P4/mmm (No. 123)
Unique sites:
1 Dy 0.0000 0.0000 0.0000
2 Pu 0.5000 0.5000 0.2795
3 Ti 0.0000 0.0000 0.5000

The following is a DFT calculation (PBE-GGA) of DyPuTi after structural relaxation.

Properties
ΔH_f (0 K): 213 meV per atom

a = 3.3031 Å, b = 3.3031 Å, c = 13.3466 Å
α = 90.00°, β = 90.00°, γ = 90.00°
Space group I4mm (No. 107)
Unique sites:
1 Dy 0.0000 0.0000 0.0000
2 Pu 0.0000 0.0000 0.6926
3 Ti 0.0000 0.0000 0.3346

Across the entries above, N(E_F) takes the values 11.56; 31.86; 14.06; 14.17; 31.34; 31.76; 11.14; 32.54; 11.59; 33.12; 12.14; 10.20; 11.51; 7.38; 9.65; 16.66; 23.27; 10.35; 11.88; 11.87; 17.51; 15.99; 12.24; 6.49 states/eV/f.u., respectively.